Material: LiHf2TaPb
Method: DFT, PBE
State: optimized geometry

CIF file:
```
data_LiHf2TaPb
_space_group_name_H-M_alt 'P 1'
_space_group_IT_number 1
_cell_length_a 5.3761
_cell_length_b 5.3761
_cell_length_c 5.2269
_cell_angle_alpha 90.00
_cell_angle_beta 90.00
_cell_angle_gamma 90.00
loop_
_space_group_symop_operation_xyz
'x,y,z'
loop_
_atom_site_label
_atom_site_type_symbol
_atom_site_fract_x
_atom_site_fract_y
_atom_site_fract_z
Li1 Li 0.0000 0.0000 0.0000
Hf1 Hf 0.0000 0.5000 0.5000
Hf2 Hf 0.5000 0.0000 0.5000
Ta1 Ta 0.5000 0.5000 0.0000
Pb1 Pb 0.5000 0.5000 0.5000
```

Results
M_tot (μB per formula unit): 0.76
Uncorrected energy (eV/atom): -5.77
Space-group type: P4/mmm, No. 123
Calculated formation energy (eV/atom): 1.708